# 1
TaTe2Ru | PBEsol | optimized geometry

Cell and atoms, written as POSCAR:
```
TaTe2Ru
1.0
-1.7243 2.0369 6.3251
1.7243 -2.0369 6.3251
1.7243 2.0369 -6.3251
Ta Te Ru
1 2 1
direct
0.0000 0.0000 0.0000
0.3460 0.8460 0.5000
0.6121 0.6121 0.0000
0.8488 0.3488 0.5000
```

Computed properties:
total moment = 0.0 Bohr magnetons per cell
distance to the lowest polymorph of the same formula = 0.66 eV/f.u.
formation energy (no corrections) = 0.11 eV/atom


# 2
TaZn2TeRu | PBEsol | optimized geometry

Cell and atoms, written as POSCAR:
```
TaZn2TeRu
1.0
4.9713 0.0000 0.0000
0.0000 4.9713 0.0000
0.0000 0.0000 4.6023
Ta Zn Te Ru
1 2 1 1
direct
0.0000 0.0000 0.0000
0.0000 0.5000 0.0000
0.5000 0.0000 0.0000
0.5000 0.5000 0.5000
0.0000 0.0000 0.5000
```

Computed properties:
total moment = 0.0 Bohr magnetons per cell
formation energy (no corrections) = 1.19 eV/atom


# 3
TaTlRu3 | PBEsol | optimized geometry

Cell and atoms, written as POSCAR:
```
TaTlRu3
1.0
4.6794 0.0000 0.0000
0.0000 4.6794 0.0000
0.0000 0.0000 4.6794
Ta Tl Ru
1 1 3
direct
0.0000 0.0000 0.0000
0.5000 0.5000 0.5000
0.0000 0.0000 0.5000
0.0000 0.5000 0.0000
0.5000 0.0000 0.0000
```

Computed properties:
total moment = 1.7 Bohr magnetons per cell
ΔH_f (0 K) = 1.5272 eV/atom


# 4
Ta4TlRu | PBEsol | optimized geometry

Cell and atoms, written as POSCAR:
```
Ta4TlRu
1.0
0.0000 3.7843 3.7843
3.7843 0.0000 3.7843
3.7843 3.7843 0.0000
Ta Tl Ru
4 1 1
direct
0.1252 0.1252 0.1252
0.1252 0.1252 0.6243
0.1252 0.6243 0.1252
0.6243 0.1252 0.1252
0.5000 0.5000 0.5000
0.7500 0.7500 0.7500
```

Computed properties:
total moment = 0.0 Bohr magnetons per cell
ΔH_f (0 K) = 0.4995 eV/atom


# 5
TaTlRu2 | PBEsol | optimized geometry

Cell and atoms, written as POSCAR:
```
TaTlRu2
1.0
0.0000 3.1997 3.1997
3.1997 0.0000 3.1997
3.1997 3.1997 0.0000
Ta Tl Ru
1 1 2
direct
0.0000 0.0000 0.0000
0.7500 0.7500 0.7500
0.2500 0.2500 0.2500
0.5000 0.5000 0.5000
```

Computed properties:
total moment = 1.3 Bohr magnetons per cell
ΔH_f (0 K) = 0.6042 eV/atom


# 6
Ta2TlRu | PBEsol | optimized geometry

Cell and atoms, written as POSCAR:
```
Ta2TlRu
1.0
-1.5483 2.3718 4.7661
1.5483 -2.3718 4.7661
1.5483 2.3718 -4.7661
Ta Tl Ru
2 1 1
direct
0.0000 0.0000 0.0000
0.7490 0.2490 0.5000
0.2773 0.7773 0.5000
0.5268 0.5268 0.0000
```

Computed properties:
total moment = 0.0 Bohr magnetons per cell
distance to the lowest polymorph of the same formula = 0.32 eV/f.u.
ΔH_f (0 K) = 0.2675 eV/atom


# 7
Ta2TlRu | PBEsol | optimized geometry

Cell and atoms, written as POSCAR:
```
Ta2TlRu
1.0
3.1128 0.0000 0.0000
0.0000 3.5914 0.0000
0.0000 0.0000 6.2691
Ta Tl Ru
2 1 1
direct
0.0000 0.0000 0.0000
0.5000 0.5000 0.2488
0.0000 0.0000 0.5239
0.5000 0.5000 0.7922
```

Computed properties:
total moment = 0.0 Bohr magnetons per cell
distance to the lowest polymorph of the same formula = 0.00 eV/f.u.
ΔH_f (0 K) = 0.1887 eV/atom


# 8
TaTlRu | PBEsol | optimized geometry

Cell and atoms, written as POSCAR:
```
TaTlRu
1.0
0.0000 3.1114 3.1114
3.1114 0.0000 3.1114
3.1114 3.1114 0.0000
Ta Tl Ru
1 1 1
direct
0.0000 0.0000 0.0000
0.7500 0.7500 0.7500
0.5000 0.5000 0.5000
```

Computed properties:
total moment = 0.5 Bohr magnetons per cell
ΔH_f (0 K) = 1.2768 eV/atom


# 9
Ta2VRu | PBEsol | optimized geometry

Cell and atoms, written as POSCAR:
```
Ta2VRu
1.0
0.0000 3.1219 3.1219
3.1219 0.0000 3.1219
3.1219 3.1219 0.0000
Ta V Ru
2 1 1
direct
0.2500 0.2500 0.2500
0.7500 0.7500 0.7500
0.0000 0.0000 0.0000
0.5000 0.5000 0.5000
```

Computed properties:
total moment = 0.0 Bohr magnetons per cell
ΔH_f (0 K) = -0.2709 eV/atom


# 10
Ta2RuW | PBEsol | optimized geometry

Cell and atoms, written as POSCAR:
```
Ta2RuW
1.0
1.5057 0.8693 8.3931
-1.5057 0.8693 8.3931
0.0000 -1.7386 8.3931
Ta Ru W
2 1 1
direct
0.2486 0.2486 0.2486
0.7514 0.7514 0.7514
0.5000 0.5000 0.5000
0.0000 0.0000 0.0000
```

Computed properties:
total moment = 0.0 Bohr magnetons per cell
ΔH_f (0 K) = 0.1527 eV/atom


# 11
Ta2RuW | PBEsol | optimized geometry

Cell and atoms, written as POSCAR:
```
Ta2RuW
1.0
0.0000 3.1668 3.1668
3.1668 0.0000 3.1668
3.1668 3.1668 0.0000
Ta Ru W
2 1 1
direct
0.0000 0.0000 0.0000
0.2500 0.2500 0.2500
0.5000 0.5000 0.5000
0.7500 0.7500 0.7500
```

Computed properties:
total moment = 0.0 Bohr magnetons per cell
ΔH_f (0 K) = -0.0721 eV/atom


# 12
Ta2RuW | PBEsol | optimized geometry

Cell and atoms, written as POSCAR:
```
Ta2RuW
1.0
1.6053 -2.2750 0.0000
1.6053 2.2750 0.0000
0.0000 0.0000 8.7855
Ta Ru W
2 1 1
direct
0.0000 0.0000 0.0000
0.5000 0.5000 0.2673
0.5000 0.5000 0.7598
0.0000 0.0000 0.5237
```

Computed properties:
total moment = 0.0 Bohr magnetons per cell
ΔH_f (0 K) = 0.0078 eV/atom


Short version: D(E_F) = 0.530, 0.912, 1.589, 0.382, 1.403, 0.918, 0.661, 1.806, 0.720, 0.678, 0.693, 1.107 states/eV/atom, in the order given.